Computed, not measured: RbHg2Bi after structural relaxation at the PBE-GGA level of DFT.

a b c (Å): 7.4874 7.4874 7.4874
angles (deg): 40.09 40.09 40.09
Sites, in units of the cell vectors:
Rb  0.0000  0.0000  0.0000
Hg  0.2286  0.2286  0.2286
Hg  0.4508  0.4508  0.4508
Bi  0.8034  0.8034  0.8034

Values from the calculation:
* E_form: -208 meV per atom
* ρ: 7.4 g cm⁻³
* space-group type: R3m (160)

=====

Computed, not measured: Zn2CrCu after structural relaxation at the PBE-GGA level of DFT.

a b c (Å): 2.5426 2.5426 7.9139
angles (deg): 90.00 90.00 90.22
Sites, in units of the cell vectors:
Zn  0.0000  0.0000  0.2477
Zn  0.0000  0.0000  0.7523
Cr  0.5000  0.5000  0.5000
Cu  0.5000  0.5000  0.0000

Values from the calculation:
* E_form: 74 meV per atom
* ρ: 8.0 g cm⁻³
* space-group type: Cmmm (65)

=====

What did the first record say?
Computed, not measured: RbHg2Bi after structural relaxation at the PBE-GGA level of DFT.

a b c (Å): 7.4874 7.4874 7.4874
angles (deg): 40.09 40.09 40.09
Sites, in units of the cell vectors:
Rb  0.0000  0.0000  0.0000
Hg  0.2286  0.2286  0.2286
Hg  0.4508  0.4508  0.4508
Bi  0.8034  0.8034  0.8034

Values from the calculation:
* E_form: -208 meV per atom
* ρ: 7.4 g cm⁻³
* space-group type: R3m (160)